Entry 1:
## LaDyBe2Ge2 (PBE)

Data for a geometry-optimized LaDyBe2Ge2 structure.

Values from the calculation:
- Mass density: 6.66 g/cm³
- Uncorrected energy: -5.015 eV per atom

a = 3.977 Å, b = 3.977 Å, c = 8.461 Å
α = 90.00°, β = 90.00°, γ = 120.00°
Fractional coordinates of all 6 atoms:
La: 0.000 0.000 0.000
Dy: 0.000 0.000 0.500
Be: 0.333 0.667 0.738
Be: 0.667 0.333 0.262
Ge: 0.333 0.667 0.264
Ge: 0.667 0.333 0.736


Entry 2:
## ScCo2B (PBE)

Data for a geometry-optimized ScCo2B structure.

Values from the calculation:
- Mass density: 6.22 g/cm³
- Uncorrected energy: -6.649 eV per atom

a = 4.031 Å, b = 4.031 Å, c = 4.031 Å
α = 60.00°, β = 60.00°, γ = 60.00°
Fractional coordinates of all 4 atoms:
Sc: 0.000 0.000 0.000
Co: 0.250 0.250 0.250
Co: 0.500 0.500 0.500
B: 0.750 0.750 0.750


Entry 3:
## Ni2Bi8Te (PBE)

Data for a geometry-optimized Ni2Bi8Te structure.

Values from the calculation:
- Mass density: 10.32 g/cm³
- Uncorrected energy: -4.099 eV per atom

a = 11.146 Å, b = 11.146 Å, c = 9.935 Å
α = 90.00°, β = 90.00°, γ = 90.00°
Fractional coordinates of all 44 atoms:
Ni: 0.192 0.192 0.233
Ni: 0.192 0.192 0.767
Ni: 0.308 0.692 0.267
Ni: 0.308 0.692 0.733
Ni: 0.692 0.308 0.267
Ni: 0.692 0.308 0.733
Ni: 0.808 0.808 0.233
Ni: 0.808 0.808 0.767
Bi: 0.000 0.000 0.336
Bi: 0.000 0.000 0.664
Bi: 0.054 0.714 0.210
Bi: 0.054 0.714 0.790
Bi: 0.102 0.102 0.000
Bi: 0.197 0.803 0.500
Bi: 0.199 0.199 0.500
Bi: 0.214 0.446 0.290
Bi: 0.214 0.446 0.710
Bi: 0.286 0.946 0.210
Bi: 0.286 0.946 0.790
Bi: 0.301 0.699 0.000
Bi: 0.303 0.303 0.000
Bi: 0.398 0.602 0.500
Bi: 0.446 0.214 0.290
Bi: 0.446 0.214 0.710
Bi: 0.500 0.500 0.164
Bi: 0.500 0.500 0.836
Bi: 0.554 0.786 0.290
Bi: 0.554 0.786 0.710
Bi: 0.602 0.398 0.500
Bi: 0.697 0.697 0.000
Bi: 0.699 0.301 0.000
Bi: 0.714 0.054 0.210
Bi: 0.714 0.054 0.790
Bi: 0.786 0.554 0.290
Bi: 0.786 0.554 0.710
Bi: 0.801 0.801 0.500
Bi: 0.803 0.197 0.500
Bi: 0.898 0.898 0.000
Bi: 0.946 0.286 0.210
Bi: 0.946 0.286 0.790
Te: 0.000 0.500 0.000
Te: 0.000 0.500 0.500
Te: 0.500 0.000 0.000
Te: 0.500 0.000 0.500


Entry 4:
## NbCoSb (PBE)

Data for a geometry-optimized NbCoSb structure.

Values from the calculation:
- Mass density: 9.12 g/cm³
- Uncorrected energy: -7.181 eV per atom

a = 6.443 Å, b = 6.443 Å, c = 4.158 Å
α = 90.00°, β = 90.00°, γ = 120.00°
Fractional coordinates of all 9 atoms:
Nb: 0.000 0.569 0.000
Nb: 0.431 0.431 0.000
Nb: 0.569 0.000 0.000
Co: 0.000 0.242 0.500
Co: 0.242 0.000 0.500
Co: 0.758 0.758 0.500
Sb: 0.000 0.000 0.000
Sb: 0.333 0.667 0.500
Sb: 0.667 0.333 0.500